Entry 1:
8
Lattice="2.074 -6.564 1.098 -5.714 -3.990 0.165 2.113 4.689 -4.706" Properties=species:S:1:pos:R:3 comment="ZnCdTc2As4 (PBE, relaxed)" energy_ev_per_cell=-39.93 pbc="T T T"
As 0.417 -4.467 0.587
As -2.253 -6.915 -1.040
As -0.239 -1.752 -2.069
As -0.977 1.402 -4.366
Cd 0.000 0.000 0.000
Tc -1.820 -5.277 0.631
Tc 1.184 -3.576 -1.489
Zn -2.710 -2.289 -1.955


Entry 2:
3
Lattice="0.000 3.485 3.485 3.485 0.000 3.485 3.485 3.485 0.000" Properties=species:S:1:pos:R:3 comment="PmZrGa (PBE, relaxed)" de_polymorph_mev_per_atom=779 energy_ev_per_cell=-14.18 pbc="T T T"
Ga 1.742 1.742 1.742
Pm 0.000 0.000 0.000
Zr 5.227 5.227 5.227


Entry 3:
6
Lattice="3.555 -2.945 -0.579 1.673 0.174 4.338 -3.757 -1.413 -2.353" Properties=species:S:1:pos:R:3 comment="TmCoB4 (PBE, relaxed)" de_polymorph_mev_per_atom=164 energy_ev_per_cell=-39.59 pbc="T T T"
B 1.234 -2.138 -0.038
B 0.305 -0.584 2.429
B 1.166 -3.600 -1.022
B 0.237 -2.047 1.445
Co 0.000 0.000 0.000
Tm 2.614 -1.386 1.880


Entry 4:
2
Lattice="-0.749 2.968 -1.008 -2.318 -1.980 1.044 0.389 1.102 2.955" Properties=species:S:1:pos:R:3 comment="LuH (PBE, relaxed)" energy_ev_per_cell=-8.09 pbc="T T T"
H -0.980 2.145 1.893
Lu -1.698 -0.055 1.099


Entry 5:
4
Lattice="1.139 -0.398 4.492 -1.364 3.244 3.041 -3.274 -0.995 3.150" Properties=species:S:1:pos:R:3 comment="MgNb2Ga (PBE, relaxed)" energy_ev_per_cell=-24.05 pbc="T T T"
Ga -1.750 0.926 5.341
Mg -0.875 0.463 2.671
Nb 0.000 0.000 0.000
Nb -2.624 1.389 8.012


Entry 6:
3
Lattice="0.000 3.398 3.398 3.398 0.000 3.398 3.398 3.398 0.000" Properties=species:S:1:pos:R:3 comment="GdHfTa (PBE, relaxed)" e_form_ev_per_fu=3.33 energy_ev_per_cell=-23.13 pbc="T T T"
Gd 1.699 1.699 1.699
Hf 0.000 0.000 0.000
Ta 5.097 5.097 5.097


Entry 7:
16
Lattice="6.623 0.000 0.000 0.000 6.608 0.000 0.000 0.000 6.600" Properties=species:S:1:pos:R:3 comment="LiScAu2 (PBE, relaxed)" de_polymorph_mev_per_atom=45 energy_ev_per_cell=-69.52 pbc="T T T"
Au 0.000 0.000 1.634
Au 0.000 3.304 1.634
Au 3.312 0.000 1.665
Au 3.312 3.304 1.665
Au 3.311 0.000 4.934
Au 3.311 3.304 4.934
Au 0.000 0.000 4.965
Au 0.000 3.304 4.965
Li 4.965 1.652 0.000
Li 1.658 4.956 0.000
Li 4.969 1.652 3.300
Li 1.654 4.956 3.300
Sc 1.673 1.652 0.000
Sc 4.950 4.956 0.000
Sc 1.638 1.652 3.300
Sc 4.985 4.956 3.300


Entry 8:
8
Lattice="7.062 0.000 0.000 -3.531 6.116 0.000 0.000 0.000 5.516" Properties=species:S:1:pos:R:3 comment="GdDyLu6 (PBE, relaxed)" e_form_ev_per_fu=0.01 energy_ev_per_cell=-36.39 pbc="T T T"
Dy 0.000 4.077 0.000
Gd 0.000 0.000 2.758
Lu 1.776 1.025 0.000
Lu 5.286 1.025 0.000
Lu 3.531 4.065 0.000
Lu 3.531 0.012 2.758
Lu 1.776 3.052 2.758
Lu 5.286 3.052 2.758


Number 1: spin magnetization 0.0 μB per formula unit. Number 2: spin magnetization 2.0 μB per formula unit. Number 3: spin magnetization 1.1 μB per formula unit. Number 4: spin magnetization 0.0 μB per formula unit. Number 5: spin magnetization 0.3 μB per formula unit. Number 6: spin magnetization 0.0 μB per formula unit. Number 7: spin magnetization 0.0 μB per formula unit. Number 8: spin magnetization 0.0 μB per formula unit.